The following is a PBE calculation of a geometry-optimized Y2GaTcPd structure, from Alexandria via LeMat-Bulk.

a = 5.285 Å, b = 5.285 Å, c = 4.800 Å
α = 90.00°, β = 90.00°, γ = 90.00°
Fractional coordinates of all 5 atoms:
Y (0.000, 0.500, 0.000)
Y (0.500, 0.000, 0.000)
Ga (0.000, 0.000, 0.500)
Tc (0.500, 0.500, 0.000)
Pd (0.500, 0.500, 0.500)

Computed properties:
The value obtained for the formation energy is 0.303 eV per atom. For the final energy, the calculation gives -6.000 eV per atom.

The following is a PBE calculation of a geometry-optimized ZnGaTcPd structure, from Alexandria via LeMat-Bulk.

a = 4.333 Å, b = 4.333 Å, c = 4.333 Å
α = 60.00°, β = 60.00°, γ = 60.00°
Fractional coordinates of all 4 atoms:
Zn (0.000, 0.000, 0.000)
Ga (0.500, 0.500, 0.500)
Tc (0.750, 0.750, 0.750)
Pd (0.250, 0.250, 0.250)

Computed properties:
The value obtained for the formation energy is -0.201 eV per atom. For the final energy, the calculation gives -5.166 eV per atom.

The following is a PBE calculation of a geometry-optimized GaTe5Pd4 structure, from Alexandria via LeMat-Bulk.

a = 8.991 Å, b = 8.991 Å, c = 7.105 Å
α = 102.83°, β = 102.83°, γ = 26.26°
Fractional coordinates of all 10 atoms:
Ga (0.000, 0.000, 0.000)
Te (0.000, 0.000, 0.500)
Te (0.342, 0.342, 0.668)
Te (0.343, 0.343, 0.149)
Te (0.657, 0.657, 0.851)
Te (0.658, 0.658, 0.332)
Pd (0.157, 0.157, 0.092)
Pd (0.499, 0.499, 0.778)
Pd (0.501, 0.501, 0.222)
Pd (0.843, 0.843, 0.908)

Computed properties:
For the final energy, the calculation gives -4.252 eV per atom.

The following is a PBE calculation of a geometry-optimized GaTePd structure, from Alexandria via LeMat-Bulk.

a = 4.545 Å, b = 4.545 Å, c = 4.545 Å
α = 60.00°, β = 60.00°, γ = 60.00°
Fractional coordinates of all 3 atoms:
Ga (0.000, 0.000, 0.000)
Te (0.500, 0.500, 0.500)
Pd (0.750, 0.750, 0.750)

Computed properties:
For the final energy, the calculation gives -4.113 eV per atom.

The following is a PBE calculation of a geometry-optimized GaTe6Pd2 structure, from Alexandria via LeMat-Bulk.

a = 6.398 Å, b = 6.398 Å, c = 12.628 Å
α = 90.00°, β = 90.00°, γ = 90.00°
Fractional coordinates of all 18 atoms:
Ga (0.000, 0.000, 0.000)
Ga (0.500, 0.500, 0.500)
Te (0.179, 0.179, 0.500)
Te (0.195, 0.195, 0.169)
Te (0.195, 0.195, 0.831)
Te (0.305, 0.695, 0.331)
Te (0.305, 0.695, 0.669)
Te (0.321, 0.679, 0.000)
Te (0.679, 0.321, 0.000)
Te (0.695, 0.305, 0.331)
Te (0.695, 0.305, 0.669)
Te (0.805, 0.805, 0.169)
Te (0.805, 0.805, 0.831)
Te (0.821, 0.821, 0.500)
Pd (0.000, 0.000, 0.329)
Pd (0.000, 0.000, 0.671)
Pd (0.500, 0.500, 0.171)
Pd (0.500, 0.500, 0.829)

Computed properties:
For the final energy, the calculation gives -3.642 eV per atom.

The following is a PBE calculation of a geometry-optimized GaTePd structure, from Alexandria via LeMat-Bulk.

a = 4.632 Å, b = 4.632 Å, c = 6.807 Å
α = 104.63°, β = 104.63°, γ = 98.84°
Fractional coordinates of all 6 atoms:
Ga (0.202, 0.798, 0.000)
Ga (0.798, 0.202, 0.000)
Te (0.251, 0.749, 0.500)
Te (0.749, 0.251, 0.500)
Pd (0.395, 0.395, 0.166)
Pd (0.605, 0.605, 0.834)

Computed properties:
For the final energy, the calculation gives -4.090 eV per atom.

The following is a PBE calculation of a geometry-optimized GaTe5Pd3 structure, from Alexandria via LeMat-Bulk.

a = 6.849 Å, b = 6.849 Å, c = 10.844 Å
α = 105.07°, β = 105.07°, γ = 79.27°
Fractional coordinates of all 18 atoms:
Ga (0.076, 0.076, 0.264)
Ga (0.924, 0.924, 0.736)
Te (0.073, 0.681, 0.312)
Te (0.269, 0.269, 0.060)
Te (0.304, 0.696, 0.000)
Te (0.319, 0.927, 0.688)
Te (0.394, 0.394, 0.601)
Te (0.606, 0.606, 0.399)
Te (0.681, 0.073, 0.312)
Te (0.696, 0.304, 0.000)
Te (0.731, 0.731, 0.940)
Te (0.927, 0.319, 0.688)
Pd (0.000, 0.000, 0.000)
Pd (0.000, 0.000, 0.500)
Pd (0.323, 0.323, 0.822)
Pd (0.330, 0.330, 0.333)
Pd (0.670, 0.670, 0.667)
Pd (0.677, 0.677, 0.178)

Computed properties:
For the final energy, the calculation gives -4.020 eV per atom.

The following is a PBE calculation of a geometry-optimized Ga2TePd9 structure, from Alexandria via LeMat-Bulk.

a = 4.002 Å, b = 4.002 Å, c = 11.788 Å
α = 90.00°, β = 90.00°, γ = 90.00°
Fractional coordinates of all 12 atoms:
Ga (0.000, 0.000, 0.157)
Ga (0.000, 0.000, 0.843)
Te (0.000, 0.000, 0.500)
Pd (0.000, 0.500, 0.000)
Pd (0.000, 0.500, 0.324)
Pd (0.000, 0.500, 0.676)
Pd (0.500, 0.000, 0.000)
Pd (0.500, 0.000, 0.324)
Pd (0.500, 0.000, 0.676)
Pd (0.500, 0.500, 0.163)
Pd (0.500, 0.500, 0.500)
Pd (0.500, 0.500, 0.837)

Computed properties:
For the final energy, the calculation gives -5.040 eV per atom.

The following is a PBE calculation of a geometry-optimized GaTePd structure, from Alexandria via LeMat-Bulk.

a = 3.879 Å, b = 3.879 Å, c = 4.983 Å
α = 90.00°, β = 90.00°, γ = 120.00°
Fractional coordinates of all 3 atoms:
Ga (0.000, 0.000, 0.000)
Te (0.667, 0.333, 0.425)
Pd (0.333, 0.667, 0.739)

Computed properties:
For the final energy, the calculation gives -4.000 eV per atom.

The following is a PBE calculation of a geometry-optimized GaTe3Pd structure, from Alexandria via LeMat-Bulk.

a = 5.630 Å, b = 4.004 Å, c = 6.381 Å
α = 90.00°, β = 107.34°, γ = 90.00°
Fractional coordinates of all 5 atoms:
Ga (0.000, 0.000, 0.000)
Te (0.014, 0.500, 0.700)
Te (0.422, 0.000, 0.346)
Te (0.675, 0.500, 0.072)
Pd (0.470, 0.500, 0.638)

Computed properties:
For the final energy, the calculation gives -3.702 eV per atom.

The following is a PBE calculation of a geometry-optimized GaTePd3 structure, from Alexandria via LeMat-Bulk.

a = 3.175 Å, b = 7.615 Å, c = 7.566 Å
α = 90.00°, β = 90.00°, γ = 90.00°
Fractional coordinates of all 10 atoms:
Ga (0.250, 0.250, 0.029)
Ga (0.750, 0.750, 0.971)
Te (0.250, 0.250, 0.599)
Te (0.750, 0.750, 0.401)
Pd (0.250, 0.556, 0.163)
Pd (0.250, 0.750, 0.706)
Pd (0.250, 0.944, 0.163)
Pd (0.750, 0.056, 0.837)
Pd (0.750, 0.250, 0.294)
Pd (0.750, 0.444, 0.837)

Computed properties:
For the final energy, the calculation gives -4.742 eV per atom.

The following is a PBE calculation of a geometry-optimized GaTe2Pd6 structure, from Alexandria via LeMat-Bulk.

a = 6.773 Å, b = 6.436 Å, c = 10.254 Å
α = 90.00°, β = 130.61°, γ = 90.00°
Fractional coordinates of all 18 atoms:
Ga (0.000, 0.000, 0.000)
Ga (0.000, 0.500, 0.500)
Te (0.336, 0.172, 0.774)
Te (0.336, 0.328, 0.274)
Te (0.664, 0.672, 0.726)
Te (0.664, 0.828, 0.226)
Pd (0.030, 0.609, 0.265)
Pd (0.030, 0.891, 0.765)
Pd (0.204, 0.639, 0.054)
Pd (0.204, 0.861, 0.554)
Pd (0.394, 0.177, 0.057)
Pd (0.394, 0.323, 0.557)
Pd (0.606, 0.677, 0.443)
Pd (0.606, 0.823, 0.943)
Pd (0.796, 0.139, 0.446)
Pd (0.796, 0.361, 0.946)
Pd (0.970, 0.109, 0.235)
Pd (0.970, 0.391, 0.735)

Computed properties:
For the final energy, the calculation gives -4.765 eV per atom.

Please write out number 7 again, unchanged.
The following is a PBE calculation of a geometry-optimized GaTe5Pd3 structure, from Alexandria via LeMat-Bulk.

a = 6.849 Å, b = 6.849 Å, c = 10.844 Å
α = 105.07°, β = 105.07°, γ = 79.27°
Fractional coordinates of all 18 atoms:
Ga (0.076, 0.076, 0.264)
Ga (0.924, 0.924, 0.736)
Te (0.073, 0.681, 0.312)
Te (0.269, 0.269, 0.060)
Te (0.304, 0.696, 0.000)
Te (0.319, 0.927, 0.688)
Te (0.394, 0.394, 0.601)
Te (0.606, 0.606, 0.399)
Te (0.681, 0.073, 0.312)
Te (0.696, 0.304, 0.000)
Te (0.731, 0.731, 0.940)
Te (0.927, 0.319, 0.688)
Pd (0.000, 0.000, 0.000)
Pd (0.000, 0.000, 0.500)
Pd (0.323, 0.323, 0.822)
Pd (0.330, 0.330, 0.333)
Pd (0.670, 0.670, 0.667)
Pd (0.677, 0.677, 0.178)

Computed properties:
For the final energy, the calculation gives -4.020 eV per atom.